Entry 1:
The following is a DFT calculation (PBE) of a geometry-optimized PmNd2Y3Ho6 structure.

Geometry as POSCAR:
```
PmNd2Y3Ho6
1.0
3.099 -5.363 0.000
3.099 5.363 0.000
-2.058 0.000 11.638
Pm Nd Y Ho
1 2 3 6
direct
0.000 0.000 0.000
0.333 0.667 0.000
0.667 0.333 0.000
0.167 0.833 0.500
0.500 0.500 0.500
0.833 0.167 0.500
0.085 0.418 0.252
0.248 0.248 0.748
0.418 0.085 0.252
0.582 0.915 0.748
0.752 0.752 0.252
0.915 0.582 0.748
```

## Properties
The calculation puts the magnetic moment at 0.00 μB per cell. As for the total energy: -60.9 eV for the cell shown. Its formation energy is 0.020 eV per atom.

=====

Entry 2:
The following is a DFT calculation (PBE) of a geometry-optimized Pm2Nd6Y3Ho structure.

Geometry as POSCAR:
```
Pm2Nd6Y3Ho
1.0
3.156 -5.467 0.000
3.156 5.467 0.000
-2.099 0.000 11.793
Pm Nd Y Ho
2 6 3 1
direct
0.167 0.833 0.000
0.833 0.167 0.000
0.084 0.416 0.749
0.251 0.251 0.251
0.416 0.084 0.749
0.584 0.916 0.251
0.749 0.749 0.749
0.916 0.584 0.251
0.000 0.000 0.500
0.334 0.666 0.500
0.666 0.334 0.500
0.500 0.500 0.000
```

## Properties
The calculation puts the magnetic moment at 0.00 μB per cell. As for the total energy: -62.0 eV for the cell shown. Its formation energy is 0.010 eV per atom.

=====

Entry 3:
The following is a DFT calculation (PBE) of a geometry-optimized Pm5NdYHo2 structure.

Geometry as POSCAR:
```
Pm5NdYHo2
1.0
2.847 -10.128 0.000
2.847 10.128 0.000
0.000 0.000 10.688
Pm Nd Y Ho
10 2 2 4
direct
0.017 0.983 0.500
0.281 0.719 0.791
0.298 0.702 0.187
0.388 0.612 0.502
0.480 0.520 0.219
0.520 0.480 0.719
0.612 0.388 0.002
0.702 0.298 0.687
0.719 0.281 0.291
0.983 0.017 0.000
0.413 0.587 0.932
0.587 0.413 0.432
0.200 0.800 0.490
0.800 0.200 0.990
0.113 0.887 0.213
0.116 0.884 0.798
0.884 0.116 0.298
0.887 0.113 0.713
```

## Properties
The calculation puts the magnetic moment at 0.00 μB per cell. As for the total energy: -85.6 eV for the cell shown. Its formation energy is 0.147 eV per atom.

=====

Entry 4:
The following is a DFT calculation (PBE) of a geometry-optimized Pm2NdY5Ho structure.

Geometry as POSCAR:
```
Pm2NdY5Ho
1.0
-4.323 4.323 7.896
4.323 -4.323 7.896
4.323 4.323 -7.896
Pm Nd Y Ho
4 2 10 2
direct
0.118 0.618 0.736
0.382 0.118 0.500
0.618 0.882 0.500
0.882 0.382 0.264
0.250 0.750 0.500
0.750 0.250 0.500
0.000 0.000 0.000
0.069 0.154 0.500
0.154 0.654 0.085
0.346 0.431 0.500
0.431 0.931 0.085
0.500 0.500 0.000
0.569 0.069 0.915
0.654 0.569 0.500
0.846 0.346 0.915
0.931 0.846 0.500
0.250 0.250 0.000
0.750 0.750 0.000
```

## Properties
The calculation puts the magnetic moment at 0.00 μB per cell. As for the total energy: -97.9 eV for the cell shown. Its formation energy is 0.247 eV per atom.